Zr2ZnIrAu: optimized geometry, PBE.

Cell lengths 5.0114, 5.0114, 4.7482 Å; angles 90.00, 90.00, 90.00 degrees
With the nearest neighbours (Å) after each atom.
Atoms (fractional coordinates):
Zr 0.0000 0.5000 0.0000  2 Ir 2.51
Zr 0.5000 0.0000 0.0000  2 Ir 2.51
Zn 0.0000 0.0000 0.5000  2 Ir 2.37
Ir 0.0000 0.0000 0.0000  2 Zn 2.37, 4 Zr 2.51
Au 0.5000 0.5000 0.5000  8 Zr 3.45, 4 Zn 3.54

Computed properties:
The calculation puts the density of states at the Fermi level at 4.54 states/eV per cell. Its calculated formation energy is 0.113 eV per atom.